Record 1
Computed, not measured: a geometry-optimized NdBeC structure at the PBE level of DFT.

Values from the calculation:
- M_tot: 0.00 μB/f.u.
- Raw total energy: -72.096 eV for the cell shown
- ΔE to the lowest computed polymorph: 0.0 meV per atom
- Calculated formation energy: -102.0 meV/atom

abc: 5.2248 5.5268 6.3059
angles: 90.00 90.00 90.00
Last column: nearest neighbours and their distance in Å.
Element x y z (fractional)
Nd 0.7500 0.6366 0.3225  4 C 2.62-2.81, 2 Be 2.72-2.91
Nd 0.2500 0.1366 0.1775  4 C 2.62-2.81, 2 Be 2.72-2.91
Nd 0.7500 0.8634 0.8225  4 C 2.62-2.81, 2 Be 2.72-2.91
Nd 0.2500 0.3634 0.6775  4 C 2.62-2.81, 2 Be 2.72-2.91
Be 0.2500 0.8351 0.5563  2 C 1.72-1.73
Be 0.2500 0.6649 0.0563  2 C 1.72-1.73
Be 0.7500 0.1649 0.4437  2 C 1.72-1.73
Be 0.7500 0.3351 0.9437  2 C 1.72-1.73
C 0.2500 0.8409 0.8286  2 Be 1.72-1.73
C 0.7500 0.3409 0.6714  2 Be 1.72-1.73
C 0.7500 0.1591 0.1714  2 Be 1.72-1.73
C 0.2500 0.6591 0.3286  2 Be 1.72-1.73

=====

Record 2
Computed, not measured: a geometry-optimized CdOsRhF2 structure at the PBE level of DFT.

Values from the calculation:
- M_tot: 4.19 μB/f.u.
- Raw total energy: -21.664 eV for the cell shown
- Uncorrected formation energy: 0.315 eV per atom

abc: 4.0417 6.1953 4.0417
angles: 90.00 90.00 90.00
Last column: nearest neighbours and their distance in Å.
Element x y z (fractional)
Rh 0.5000 0.5000 0.5000  4 Os 2.86
F 0.0000 0.0000 0.5000  2 Cd 2.02
F 0.5000 0.0000 0.0000  2 Cd 2.02
Os 0.0000 0.5000 0.0000  4 Rh 2.86, 2 Cd 3.10
Cd 0.0000 0.0000 0.0000  4 F 2.02

=====

Record 3
Computed, not measured: a geometry-optimized Li2Ni2P structure at the PBE level of DFT.

Values from the calculation:
- M_tot: 0.00 μB/f.u.
- Raw total energy: -45.098 eV for the cell shown
- Calculated formation energy: -349.7 meV/atom

abc: 5.6401 5.6401 4.1705
angles: 90.00 90.00 90.00
Last column: nearest neighbours and their distance in Å.
Element x y z (fractional)
Ni 0.3483 0.8483 0.0000  2 P 2.14
Ni 0.8483 0.6517 0.0000  2 P 2.14
Ni 0.6517 0.1517 0.0000  2 P 2.14
Ni 0.1517 0.3483 0.0000  2 P 2.14
Li 0.1688 0.6688 0.5000  6 Ni 2.53-2.76, 1 Li 2.69
Li 0.6688 0.8312 0.5000  6 Ni 2.53-2.76, 1 Li 2.69
Li 0.8312 0.3312 0.5000  6 Ni 2.53-2.76, 1 Li 2.69
Li 0.3312 0.1688 0.5000  6 Ni 2.53-2.76, 1 Li 2.69
P 0.0000 0.0000 0.0000  4 Ni 2.14
P 0.5000 0.5000 0.0000  4 Ni 2.14

=====

Record 4
Computed, not measured: a geometry-optimized Ba12Se3F5 structure at the PBE level of DFT.

Values from the calculation:
- M_tot: 3.41 μB/f.u.
- Raw total energy: -314.642 eV for the cell shown
- Uncorrected formation energy: -1.789 eV per atom

abc: 15.5211 15.5211 15.5211
angles: 109.47 109.47 109.47
Last column: nearest neighbours and their distance in Å.
Element x y z (fractional)
Se 0.7500 0.3750 0.1250  8 Ba 3.48-3.50
Se 0.8750 0.7500 0.1250  8 Ba 3.48-3.50
Se 0.3750 0.7500 0.6250  8 Ba 3.48-3.50
Se 0.2500 0.1250 0.3750  8 Ba 3.48-3.50
Se 0.8750 0.1250 0.2500  8 Ba 3.48-3.50
Se 0.3750 0.6250 0.2500  8 Ba 3.48-3.50
Se 0.6250 0.3750 0.7500  8 Ba 3.48-3.50
Se 0.1250 0.8750 0.7500  8 Ba 3.48-3.50
Se 0.7500 0.8750 0.6250  8 Ba 3.48-3.50
Se 0.6250 0.2500 0.3750  8 Ba 3.48-3.50
Se 0.1250 0.2500 0.8750  8 Ba 3.48-3.50
Se 0.2500 0.6250 0.8750  8 Ba 3.48-3.50
F 0.1250 0.3750 0.2500  4 Ba 2.61
F 0.0000 0.5000 0.0000  6 Ba 3.02
F 0.0000 0.0000 0.0000  6 Ba 3.02
F 0.3750 0.2500 0.1250  4 Ba 2.61
F 0.5000 0.0000 0.5000  6 Ba 3.02
F 0.5000 0.5000 0.0000  6 Ba 3.02
F 0.1250 0.7500 0.3750  4 Ba 2.61
F 0.7500 0.1250 0.8750  4 Ba 2.61
F 0.7500 0.6250 0.3750  4 Ba 2.61
F 0.3750 0.1250 0.7500  4 Ba 2.61
F 0.6250 0.8750 0.2500  4 Ba 2.61
F 0.5000 0.5000 0.5000  6 Ba 3.02
F 0.5000 0.0000 0.0000  6 Ba 3.02
F 0.0000 0.0000 0.5000  6 Ba 3.02
F 0.2500 0.3750 0.6250  4 Ba 2.61
F 0.2500 0.8750 0.1250  4 Ba 2.61
F 0.0000 0.5000 0.5000  6 Ba 3.02
F 0.8750 0.2500 0.6250  4 Ba 2.61
F 0.6250 0.7500 0.8750  4 Ba 2.61
F 0.8750 0.6250 0.7500  4 Ba 2.61
Ba 0.7136 0.1209 0.0268  1 F 2.61
Ba 0.3131 0.5268 0.4059  1 F 2.61
Ba 0.9732 0.3791 0.2864  1 F 2.61
Ba 0.5268 0.2136 0.1209  1 F 2.61
Ba 0.5928 0.7136 0.6869  1 F 2.61
Ba 0.9732 0.5941 0.1869  1 F 2.61
Ba 0.3131 0.7864 0.4072  1 F 2.61
Ba 0.0941 0.9072 0.1209  1 F 2.61
Ba 0.5941 0.9732 0.6869  1 F 2.61
Ba 0.7136 0.5928 0.1869  1 F 2.61
Ba 0.7864 0.4732 0.3791  1 F 2.61
Ba 0.8131 0.9059 0.0268  1 F 2.61
Ba 0.1209 0.7136 0.5268  1 F 2.61
Ba 0.3791 0.4059 0.0928  1 F 2.61
Ba 0.0928 0.9059 0.3791  1 F 2.61
Ba 0.4072 0.1209 0.5941  1 F 2.61
Ba 0.0928 0.1869 0.2136  1 F 2.61
Ba 0.4732 0.6869 0.0941  1 F 2.61
Ba 0.8131 0.9072 0.2864  1 F 2.61
Ba 0.1209 0.4072 0.0941  1 F 2.61
Ba 0.3791 0.9732 0.7864  1 F 2.61
Ba 0.5941 0.6209 0.4072  1 F 2.61
Ba 0.9059 0.8131 0.5268  1 F 2.61
Ba 0.7864 0.3131 0.9072  1 F 2.61
Ba 0.4059 0.3791 0.5928  1 F 2.61
Ba 0.0941 0.1869 0.4732  1 F 2.61
Ba 0.2136 0.6869 0.0928  1 F 2.61
Ba 0.1869 0.0928 0.7136  1 F 2.61
Ba 0.6209 0.0268 0.2136  1 F 2.61
Ba 0.8791 0.5928 0.9059  1 F 2.61
Ba 0.5268 0.3131 0.9059  1 F 2.61
Ba 0.5928 0.8791 0.4059  1 F 2.61
Ba 0.9072 0.8131 0.7864  1 F 2.61
Ba 0.9072 0.0941 0.6209  1 F 2.61
Ba 0.8791 0.2864 0.4732  1 F 2.61
Ba 0.1869 0.0941 0.9732  1 F 2.61
Ba 0.6209 0.5941 0.9072  1 F 2.61
Ba 0.4059 0.0268 0.3131  1 F 2.61
Ba 0.2864 0.4072 0.8131  1 F 2.61
Ba 0.2136 0.5268 0.6209  1 F 2.61
Ba 0.9059 0.0928 0.8791  1 F 2.61
Ba 0.6869 0.2136 0.5928  1 F 2.61
Ba 0.4732 0.7864 0.8791  1 F 2.61
Ba 0.0268 0.4059 0.8131  1 F 2.61
Ba 0.4072 0.2864 0.3131  1 F 2.61
Ba 0.0268 0.6209 0.7136  1 F 2.61
Ba 0.6869 0.4732 0.5941  1 F 2.61
Ba 0.2864 0.8791 0.9732  1 F 2.61

=====

Record 5
Computed, not measured: a geometry-optimized FeCuGeI2 structure at the PBE level of DFT.

Values from the calculation:
- M_tot: 3.71 μB/f.u.
- Raw total energy: -15.960 eV for the cell shown
- Uncorrected formation energy: 0.863 eV per atom

abc: 5.5481 5.5481 4.5653
angles: 90.00 90.00 90.00
Last column: nearest neighbours and their distance in Å.
Element x y z (fractional)
I 0.0000 0.5000 0.0000  2 Cu 2.77
I 0.5000 0.0000 0.0000  2 Cu 2.77
Ge 0.0000 0.0000 0.5000  2 Cu 2.28
Fe 0.5000 0.5000 0.5000  8 I 3.59, 4 Ge 3.92
Cu 0.0000 0.0000 0.0000  2 Ge 2.28

=====

Record 6
Computed, not measured: a geometry-optimized Nb2FeRu2 structure at the PBE level of DFT.

Values from the calculation:
- M_tot: 0.25 μB/f.u.
- Raw total energy: -43.376 eV for the cell shown
- ΔE to the lowest computed polymorph: 647.3 meV per atom
- Calculated formation energy: 755.5 meV/atom

abc: 4.2306 4.2306 6.0087
angles: 69.39 69.39 90.00
Last column: nearest neighbours and their distance in Å.
Element x y z (fractional)
Ru 0.3848 0.3848 0.2304  1 Ru 2.40, 4 Nb 2.54
Ru 0.6152 0.6152 0.7696  1 Ru 2.40, 4 Nb 2.54
Nb 0.7500 0.2500 0.5000  4 Ru 2.54
Nb 0.2500 0.7500 0.5000  4 Ru 2.54
Fe 0.0000 0.0000 0.0000  8 Ru 3.22, 8 Nb 3.36